DFT (GGA-PBE) results for a relaxed structure of NbAsS3.

The volume is 22.320 A^3/atom. The uncorrected formation energy comes out at 0.12 eV/atom. The total energy comes out at -26.50 eV per cell.

The structure belongs to space group Pm-3m (No. 221); the cell edges are 4.815, 4.815 and 4.815 Å and the angles 90.00°, 90.00° and 90.00°. The distinct sites, in fractional coordinates, are Nb at (0.000, 0.000, 0.000), As at (0.500, 0.500, 0.500) and S at (0.000, 0.000, 0.500).